# PBE-GGA MgRe3, optimized geometry
# **Energy relative to the lowest polymorph listed for this composition**: 0.1380 eV per atom
# **Energy of formation**: 0.3163 eV/atom
# **Size of the total moment**: 0.00 μB per cell
data_MgRe3
_cell_length_a 6.499
_cell_length_b 8.730
_cell_length_c 4.326
_cell_angle_alpha 90.00
_cell_angle_beta 90.00
_cell_angle_gamma 90.00
_space_group_name_H-M_alt 'C m c m'
_space_group_IT_number 63
_space_group_name_Hall '-C 2c 2'
loop_
_atom_site_label
_atom_site_type_symbol
_atom_site_fract_x
_atom_site_fract_y
_atom_site_fract_z
Mg1 Mg 0.000 0.109 0.250
Re1 Re 0.000 0.371 0.750
Re2 Re 0.237 0.364 0.250

***

# PBE-GGA SrPmZnHg, optimized geometry
# **Energy relative to the lowest polymorph listed for this composition**: 0.0311 eV per atom
# **Energy of formation**: -0.3418 eV/atom
# **Size of the total moment**: 0.00 μB per cell
data_SrPmZnHg
_cell_length_a 7.666
_cell_length_b 7.666
_cell_length_c 7.666
_cell_angle_alpha 90.00
_cell_angle_beta 90.00
_cell_angle_gamma 90.00
_space_group_name_H-M_alt 'F -4 3 m'
_space_group_IT_number 216
_space_group_name_Hall 'F -4 2 3'
loop_
_atom_site_label
_atom_site_type_symbol
_atom_site_fract_x
_atom_site_fract_y
_atom_site_fract_z
Sr1 Sr 0.000 0.000 0.000
Pm1 Pm 0.000 0.000 0.500
Zn1 Zn 0.250 0.250 0.250
Hg1 Hg 0.250 0.250 0.750